No. 1
A plane-wave DFT calculation with GGA-PBE was carried out for a geometry-optimized PaCuGe2O8 structure. Values from VASP.

Results
Formation energy without anion corrections, eV/atom: -1.721

Geometry as Quantum ESPRESSO input:
```
&SYSTEM
  ibrav = 0, nat = 12, ntyp = 4
/
ATOMIC_SPECIES
O 16.00 O.upf
Ge 72.64 Ge.upf
Pa 231.04 Pa.upf
Cu 63.55 Cu.upf
CELL_PARAMETERS angstrom
-1.3215 -0.2918 5.6864
-4.8156 -0.4786 -3.2783
3.6227 -4.3930 -1.3204
ATOMIC_POSITIONS angstrom
O 1.8463 -3.7017 0.3577
O 1.2035 -3.2900 3.1730
O -2.2383 -1.1953 -0.1029
O -0.9526 -4.0043 -0.5455
O -1.3006 -1.7443 4.1168
O -1.7583 -3.6135 2.3523
O -3.6841 -1.4256 2.4658
O 0.3206 -1.4924 1.4978
Ge -0.3837 -2.5350 2.7850
Ge -3.0685 -0.3852 1.2040
Pa -2.1307 -2.6284 -1.6974
Cu 0.0000 0.0000 0.0000
```

---

No. 2
A plane-wave DFT calculation with GGA-PBE was carried out for a geometry-optimized KLiDyCl5 structure. Values from VASP.

Results
Formation energy without anion corrections, eV/atom: -2.107

Geometry as Quantum ESPRESSO input:
```
&SYSTEM
  ibrav = 0, nat = 16, ntyp = 4
/
ATOMIC_SPECIES
Cl 35.45 Cl.upf
Li 6.94 Li.upf
K 39.10 K.upf
Dy 162.50 Dy.upf
CELL_PARAMETERS angstrom
-1.2267 -7.3494 -0.2153
5.1910 1.5441 -5.1219
4.7605 1.3550 8.6824
ATOMIC_POSITIONS angstrom
Cl 4.3732 -0.4529 3.0345
Cl 1.0095 -6.0684 -0.8048
Cl 1.4636 -4.4245 2.7688
Cl 7.2612 -0.0259 0.5764
Cl 1.1795 -2.2576 -0.6847
Cl 4.3516 -3.9975 0.3106
Cl 7.5453 -2.1928 4.0299
Cl 7.7153 1.6180 4.1500
Cl 5.8687 1.1728 -2.5596
Cl 2.8561 -5.6231 5.9048
Li 6.7690 -0.2007 2.9131
Li 1.9558 -4.2496 0.4320
K 4.5664 -3.2530 4.5972
K 4.1584 -1.1973 -1.2520
Dy 2.3803 0.6775 4.3412
Dy 0.0000 0.0000 0.0000
```

---

No. 3
A plane-wave DFT calculation with GGA-PBE was carried out for a geometry-optimized HPtS structure. Values from VASP.

Results
Relative energy among the computed polymorphs, meV per atom: 102

Geometry as Quantum ESPRESSO input:
```
&SYSTEM
  ibrav = 0, nat = 3, ntyp = 3
/
ATOMIC_SPECIES
S 32.06 S.upf
Pt 195.08 Pt.upf
H 1.01 H.upf
CELL_PARAMETERS angstrom
4.4715 0.0000 0.0000
0.0000 2.6986 0.0000
0.0000 0.0000 3.5835
ATOMIC_POSITIONS angstrom
S 0.0000 0.0000 1.6983
Pt 2.2357 0.0000 2.2570
H 2.2357 0.0000 0.3560
```

---

No. 4
A plane-wave DFT calculation with GGA-PBE was carried out for a geometry-optimized Nd3ZrPd12 structure. Values from VASP.

Results
Formation energy, meV/atom: -784

Geometry as Quantum ESPRESSO input:
```
&SYSTEM
  ibrav = 0, nat = 16, ntyp = 3
/
ATOMIC_SPECIES
Pd 106.42 Pd.upf
Nd 144.24 Nd.upf
Zr 91.22 Zr.upf
CELL_PARAMETERS angstrom
-2.0756 3.6015 0.1196
-1.2149 -0.5694 -3.9361
-13.5867 -8.0079 5.3521
ATOMIC_POSITIONS angstrom
Pd -6.0931 -1.1788 2.0512
Pd -5.6627 -3.2643 0.0233
Pd -11.9239 -4.5421 2.1407
Pd -9.1389 -5.3131 1.3927
Pd -2.1708 -1.2062 -1.3522
Pd -12.6308 -7.3712 2.7682
Pd -8.4386 -2.4879 0.7678
Pd -1.6452 1.5160 -1.9083
Pd -2.6012 0.8793 0.6756
Pd -13.0611 -5.2857 4.7960
Pd -4.9533 -0.4337 -0.6051
Pd -9.5692 -3.2276 3.4205
Nd -6.7934 -4.0039 2.6760
Nd -10.2486 -6.0404 4.0371
Nd -3.3381 -1.9675 1.3150
Zr 0.0000 0.0000 0.0000
```

---

No. 5
A plane-wave DFT calculation with GGA-PBE was carried out for a geometry-optimized MgMnIrRu structure. Values from VASP.

Results
Formation energy, meV/atom: -110

Geometry as Quantum ESPRESSO input:
```
&SYSTEM
  ibrav = 0, nat = 4, ntyp = 4
/
ATOMIC_SPECIES
Mn 54.94 Mn.upf
Ru 101.07 Ru.upf
Mg 24.30 Mg.upf
Ir 192.22 Ir.upf
CELL_PARAMETERS angstrom
-1.8575 2.7832 2.6967
-1.3116 -1.3132 3.8760
2.0872 1.2935 3.5269
ATOMIC_POSITIONS angstrom
Mn -0.5410 1.3817 5.0498
Ru -0.8114 2.0726 7.5748
Mg 0.0000 0.0000 0.0000
Ir -0.2705 0.6909 2.5249
```

---

No. 6
A plane-wave DFT calculation with GGA-PBE was carried out for a geometry-optimized ReRhF2 structure. Values from VASP.

Results
Formation energy without anion corrections, eV/atom: 0.632
Relative energy among the computed polymorphs, meV per atom: 1215

Geometry as Quantum ESPRESSO input:
```
&SYSTEM
  ibrav = 0, nat = 4, ntyp = 3
/
ATOMIC_SPECIES
Re 186.21 Re.upf
F 19.00 F.upf
Rh 102.91 Rh.upf
CELL_PARAMETERS angstrom
0.0949 -3.6069 1.9700
-3.3661 -2.3557 0.1382
-0.1404 -3.5114 -2.1331
ATOMIC_POSITIONS angstrom
Re -1.7058 -4.7370 -0.0125
F -2.5588 -7.1055 -0.0187
F -0.8529 -2.3685 -0.0062
Rh 0.0000 0.0000 0.0000
```

---

No. 7
A plane-wave DFT calculation with GGA-PBE was carried out for a geometry-optimized La4Pm3Nd2 structure. Values from VASP.

Results
Relative energy among the computed polymorphs, meV per atom: 24
Formation energy, meV/atom: 84

Geometry as Quantum ESPRESSO input:
```
&SYSTEM
  ibrav = 0, nat = 9, ntyp = 3
/
ATOMIC_SPECIES
La 138.91 La.upf
Pm 145.00 Pm.upf
Nd 144.24 Nd.upf
CELL_PARAMETERS angstrom
3.7334 0.0000 0.0000
-1.8667 6.4291 1.4030
0.0000 3.8063 14.5796
ATOMIC_POSITIONS angstrom
La 1.8667 2.4345 2.2789
La 0.0000 7.8009 13.7037
La 0.0000 3.7367 9.1135
La 1.8667 6.4986 6.8691
Pm 0.0000 7.2481 10.0133
Pm 1.8667 2.9873 5.9693
Pm 0.0000 0.0000 0.0000
Nd 0.0000 5.2151 4.0311
Nd 1.8667 5.0203 11.9515
```

---

No. 8
A plane-wave DFT calculation with GGA-PBE was carried out for a geometry-optimized PmSi4Tc6 structure. Values from VASP.

Results
Formation energy without anion corrections, eV/atom: -0.405

Geometry as Quantum ESPRESSO input:
```
&SYSTEM
  ibrav = 0, nat = 11, ntyp = 3
/
ATOMIC_SPECIES
Si 28.09 Si.upf
Tc 98.00 Tc.upf
Pm 145.00 Pm.upf
CELL_PARAMETERS angstrom
3.2517 0.0000 0.0000
0.0000 7.7181 0.0000
0.0000 -3.8590 6.6840
ATOMIC_POSITIONS angstrom
Si 0.0000 0.0000 4.4560
Si 1.6259 3.8590 4.2106
Si 1.6259 5.5760 1.2367
Si 1.6259 2.1421 1.2367
Tc 1.6259 1.5636 5.3588
Tc 1.6259 0.0000 2.6505
Tc 0.0000 3.8590 0.4820
Tc 0.0000 2.3469 3.1010
Tc 1.6259 -1.5636 5.3588
Tc 0.0000 5.3711 3.1010
Pm 0.0000 0.0000 0.0000
```

---

No. 9
A plane-wave DFT calculation with GGA-PBE was carried out for a geometry-optimized Li2Ni2Ag structure. Values from VASP.

Results
Relative energy among the computed polymorphs, meV per atom: 0
Formation energy, meV/atom: 134

Geometry as Quantum ESPRESSO input:
```
&SYSTEM
  ibrav = 0, nat = 10, ntyp = 3
/
ATOMIC_SPECIES
Li 6.94 Li.upf
Ag 107.87 Ag.upf
Ni 58.69 Ni.upf
CELL_PARAMETERS angstrom
6.9221 0.0000 0.0000
0.0000 6.9221 0.0000
0.0000 0.0000 2.7391
ATOMIC_POSITIONS angstrom
Li 1.2253 4.6864 1.3695
Li 5.6968 2.2357 1.3695
Li 4.6864 5.6968 1.3695
Li 2.2357 1.2253 1.3695
Ag 3.4611 3.4611 0.0000
Ag 0.0000 0.0000 0.0000
Ni 0.8193 2.6418 0.0000
Ni 6.1028 4.2804 0.0000
Ni 2.6418 6.1028 0.0000
Ni 4.2804 0.8193 0.0000
```

---

No. 10
A plane-wave DFT calculation with GGA-PBE was carried out for a geometry-optimized RbCuTe2 structure. Values from VASP.

Results
Formation energy without anion corrections, eV/atom: -0.472

Geometry as Quantum ESPRESSO input:
```
&SYSTEM
  ibrav = 0, nat = 8, ntyp = 3
/
ATOMIC_SPECIES
Rb 85.47 Rb.upf
Te 127.60 Te.upf
Cu 63.55 Cu.upf
CELL_PARAMETERS angstrom
-3.2494 -1.5151 2.5249
1.2171 -4.1149 -0.9030
8.2071 0.0970 10.6201
ATOMIC_POSITIONS angstrom
Rb 2.7660 -2.0320 2.3404
Rb 4.4249 -0.6861 9.0907
Te 3.0874 -2.7665 6.1210
Te -0.6912 -0.7465 2.4704
Te 7.8821 -1.9715 8.9607
Te 4.1035 0.0485 5.3100
Cu -1.0161 -2.8150 0.8110
Cu 0.0000 0.0000 0.0000
```

---

No. 11
A plane-wave DFT calculation with GGA-PBE was carried out for a geometry-optimized Tb4MgCu structure. Values from VASP.

Results
Formation energy, meV/atom: 225

Geometry as Quantum ESPRESSO input:
```
&SYSTEM
  ibrav = 0, nat = 6, ntyp = 3
/
ATOMIC_SPECIES
Cu 63.55 Cu.upf
Tb 158.93 Tb.upf
Mg 24.30 Mg.upf
CELL_PARAMETERS angstrom
4.8745 0.0001 -0.0016
0.0000 4.8804 -0.0029
0.0032 0.0041 7.7044
ATOMIC_POSITIONS angstrom
Cu 0.0068 4.8711 3.8368
Tb 2.4464 4.8696 5.4914
Tb 0.0074 2.4271 2.1796
Tb 0.0092 2.4294 5.4924
Tb 2.4448 4.8675 2.1757
Mg 2.4464 2.4319 7.6880
```

---

No. 12
A plane-wave DFT calculation with GGA-PBE was carried out for a geometry-optimized In3Ga8Sn structure. Values from VASP.

Results
Relative energy among the computed polymorphs, meV per atom: 11
Formation energy, meV/atom: 49

Geometry as Quantum ESPRESSO input:
```
&SYSTEM
  ibrav = 0, nat = 12, ntyp = 3
/
ATOMIC_SPECIES
Ga 69.72 Ga.upf
In 114.82 In.upf
Sn 118.71 Sn.upf
CELL_PARAMETERS angstrom
5.7044 0.0000 0.0000
2.8522 4.9402 0.0000
2.8522 1.6467 9.3938
ATOMIC_POSITIONS angstrom
Ga 7.1319 5.7627 6.4444
Ga 4.2788 2.4704 1.7696
Ga 8.5567 4.9402 8.8097
Ga 9.9814 5.7627 6.4444
Ga 5.7044 4.9396 1.7696
Ga 7.1301 2.4704 1.7696
Ga 8.5567 3.2951 6.4444
Ga 2.8522 1.6467 4.1031
In 8.5567 4.9402 0.0085
In 5.7044 3.2935 8.2382
In 5.7044 3.2935 4.6705
Sn 8.5567 4.9402 3.5422
```

---

No. 13
A plane-wave DFT calculation with GGA-PBE was carried out for a geometry-optimized CaAcTlBi structure. Values from VASP.

Results
Formation energy, meV/atom: -518

Geometry as Quantum ESPRESSO input:
```
&SYSTEM
  ibrav = 0, nat = 4, ntyp = 4
/
ATOMIC_SPECIES
Ca 40.08 Ca.upf
Tl 204.38 Tl.upf
Bi 208.98 Bi.upf
Ac 227.00 Ac.upf
CELL_PARAMETERS angstrom
5.7513 0.0000 0.0000
2.8756 4.9808 0.0000
2.8756 1.6603 4.6959
ATOMIC_POSITIONS angstrom
Ca 8.6269 4.9808 3.5219
Tl 0.0000 0.0000 0.0000
Bi 5.7513 3.3205 2.3480
Ac 2.8756 1.6603 1.1740
```

---

No. 14
A plane-wave DFT calculation with GGA-PBE was carried out for a geometry-optimized Fe6CoNi structure. Values from VASP.

Results
Formation energy, meV/atom: -6

Geometry as Quantum ESPRESSO input:
```
&SYSTEM
  ibrav = 0, nat = 32, ntyp = 3
/
ATOMIC_SPECIES
Fe 55.84 Fe.upf
Co 58.93 Co.upf
Ni 58.69 Ni.upf
CELL_PARAMETERS angstrom
6.3787 -0.0044 0.0000
-3.8315 5.0998 0.0000
0.0000 0.0000 11.4496
ATOMIC_POSITIONS angstrom
Fe 0.6368 4.4460 4.3010
Fe 0.6209 4.4538 7.1668
Fe 0.0000 0.0000 8.5872
Fe 3.1900 3.1694 10.0077
Fe 1.9104 0.6494 4.3010
Fe -0.6428 1.9260 7.1668
Fe 1.2736 2.5477 2.8624
Fe -0.6428 1.9260 10.0077
Fe 0.6209 4.4538 10.0077
Fe 1.2736 2.5477 8.5872
Fe -0.6270 1.9179 4.3010
Fe -1.2906 3.8296 0.0089
Fe 3.1743 3.1776 4.3010
Fe 3.8379 1.2658 0.0089
Fe 1.9104 0.6494 1.4238
Fe 3.1900 3.1694 7.1668
Fe 3.8379 1.2658 5.7159
Fe 1.9264 0.6417 7.1668
Fe 3.1743 3.1776 1.4238
Fe -1.2906 3.8296 5.7159
Fe -0.6270 1.9179 1.4238
Fe 0.0000 0.0000 2.8624
Fe 1.9264 0.6417 10.0077
Fe 0.6368 4.4460 1.4238
Co -1.2859 3.8272 8.5872
Co 1.2736 2.5477 11.4430
Co 3.8332 1.2682 8.5872
Co 1.2736 2.5477 5.7314
Ni 0.0000 0.0000 5.7420
Ni 3.8324 1.2686 2.8624
Ni -1.2852 3.8269 2.8624
Ni 0.0000 0.0000 11.4324
```

---

No. 15
A plane-wave DFT calculation with GGA-PBE was carried out for a geometry-optimized Pa3Si3B8 structure. Values from VASP.

Results
Formation energy without anion corrections, eV/atom: -0.080

Geometry as Quantum ESPRESSO input:
```
&SYSTEM
  ibrav = 0, nat = 14, ntyp = 3
/
ATOMIC_SPECIES
Pa 231.04 Pa.upf
B 10.81 B.upf
Si 28.09 Si.upf
CELL_PARAMETERS angstrom
-2.7426 1.1066 -1.0443
-4.1876 0.2091 6.5099
-0.1917 7.0291 3.2424
ATOMIC_POSITIONS angstrom
Pa -3.5610 4.1724 4.3540
Pa -3.0982 2.4388 1.3014
Pa -4.0237 5.9061 7.4066
B -1.2435 3.9425 2.7337
B -2.3057 5.1054 2.0457
B -4.8163 3.2395 6.6623
B -4.4598 6.8238 4.8142
B -2.6622 1.5211 3.8938
B -4.3727 1.5775 3.7359
B -2.7493 6.7673 4.9721
B -5.8785 4.4024 5.9743
Si -3.3231 1.6846 5.8030
Si -1.3713 0.5533 -0.5221
Si -1.0562 5.5537 3.9493
```

---

No. 16
A plane-wave DFT calculation with GGA-PBE was carried out for a geometry-optimized InC2O structure. Values from VASP.

Results
Formation energy without anion corrections, eV/atom: 1.972
Relative energy among the computed polymorphs, meV per atom: 0

Geometry as Quantum ESPRESSO input:
```
&SYSTEM
  ibrav = 0, nat = 8, ntyp = 3
/
ATOMIC_SPECIES
O 16.00 O.upf
C 12.01 C.upf
In 114.82 In.upf
CELL_PARAMETERS angstrom
4.6800 0.0000 0.0000
0.0000 4.6800 0.0000
2.3400 2.3400 4.6307
ATOMIC_POSITIONS angstrom
O 2.3400 4.6800 2.3153
O 2.3400 2.3400 0.0000
C 3.5100 3.8374 3.4730
C 1.4974 3.5100 1.1577
C 5.8500 5.5226 3.4730
C 3.1826 1.1700 1.1577
In 0.0000 0.0000 0.0000
In 4.6800 2.3400 2.3153
```

---

No. 17
A plane-wave DFT calculation with GGA-PBE was carried out for a geometry-optimized KPb structure. Values from VASP.

Results
Relative energy among the computed polymorphs, meV per atom: 248
Formation energy, meV/atom: 7

Geometry as Quantum ESPRESSO input:
```
&SYSTEM
  ibrav = 0, nat = 16, ntyp = 2
/
ATOMIC_SPECIES
Pb 207.20 Pb.upf
K 39.10 K.upf
CELL_PARAMETERS angstrom
13.5275 0.0000 0.0000
0.0000 13.5275 0.0000
0.0000 0.0000 3.6340
ATOMIC_POSITIONS angstrom
Pb 11.4850 0.8807 0.0000
Pb 7.6445 8.8063 1.8170
Pb 12.6467 11.4850 0.0000
Pb 0.8807 2.0425 0.0000
Pb 8.8063 5.8830 1.8170
Pb 5.8830 4.7212 1.8170
Pb 4.7212 7.6445 1.8170
Pb 2.0425 12.6467 0.0000
K 9.0446 11.7694 0.0000
K 2.2809 5.0057 1.8170
K 11.2466 8.5218 1.8170
K 8.5218 2.2809 1.8170
K 1.7580 9.0446 0.0000
K 4.4829 1.7580 0.0000
K 11.7694 4.4829 0.0000
K 5.0057 11.2466 1.8170
```

---

No. 18
A plane-wave DFT calculation with GGA-PBE was carried out for a geometry-optimized Li2BeRe structure. Values from VASP.

Results
Formation energy, meV/atom: 575

Geometry as Quantum ESPRESSO input:
```
&SYSTEM
  ibrav = 0, nat = 4, ntyp = 3
/
ATOMIC_SPECIES
Be 9.01 Be.upf
Li 6.94 Li.upf
Re 186.21 Re.upf
CELL_PARAMETERS angstrom
4.0813 -0.0013 0.0000
0.0467 4.0810 0.0000
-2.0640 -2.0398 2.8698
ATOMIC_POSITIONS angstrom
Be 2.0406 -0.0006 1.4349
Li 0.0234 2.0405 1.4349
Li 0.0000 0.0000 0.0000
Re 2.0640 2.0398 0.0000
```

---

No. 19
A plane-wave DFT calculation with GGA-PBE was carried out for a geometry-optimized LiFeSe structure. Values from VASP.

Results
Formation energy without anion corrections, eV/atom: 0.001
Relative energy among the computed polymorphs, meV per atom: 442

Geometry as Quantum ESPRESSO input:
```
&SYSTEM
  ibrav = 0, nat = 3, ntyp = 3
/
ATOMIC_SPECIES
Li 6.94 Li.upf
Se 78.96 Se.upf
Fe 55.84 Fe.upf
CELL_PARAMETERS angstrom
3.1475 0.0000 0.0000
-1.5738 2.7258 0.0000
0.0000 0.0000 5.8978
ATOMIC_POSITIONS angstrom
Li 1.5738 0.9086 2.0168
Se 0.0000 1.8172 4.1045
Fe 0.0000 0.0000 5.6743
```

---

No. 20
A plane-wave DFT calculation with GGA-PBE was carried out for a geometry-optimized HoEr3Th structure. Values from VASP.

Results
Relative energy among the computed polymorphs, meV per atom: 0
Formation energy, meV/atom: 22

Geometry as Quantum ESPRESSO input:
```
&SYSTEM
  ibrav = 0, nat = 10, ntyp = 3
/
ATOMIC_SPECIES
Ho 164.93 Ho.upf
Er 167.26 Er.upf
Th 232.04 Th.upf
CELL_PARAMETERS angstrom
-5.9491 1.2893 1.2531
0.5864 -3.9193 -8.6231
-2.1820 -2.5055 7.7235
ATOMIC_POSITIONS angstrom
Ho -3.4024 -4.6881 -1.0480
Ho -4.1422 -0.4475 1.4014
Er -2.4217 -3.3843 2.1466
Er -4.9861 -2.0944 4.3860
Er -5.1229 -1.7513 -1.7931
Er -2.5585 -3.0412 -4.0326
Er -1.5993 -1.6844 -0.7949
Er -5.9453 -3.4512 1.1484
Th -7.4349 -0.8296 6.5638
Th -0.1097 -4.3059 -6.2104
```